Entry 1:
A plane-wave DFT calculation with PBEsol was carried out for a relaxed structure of BeCuCl2.

Unit cell a=5.9135 b=6.0314 c=5.9135 alpha=60.64 beta=90.00 gamma=119.36
Atoms (fractional coordinates):
Cu 0.0000 0.0000 0.0000
Cl 0.2260 0.7500 0.8750
Be 0.2500 0.5000 0.2500
Cl 0.5240 0.7500 0.3750
Cu 0.7500 0.5000 0.7500
Be 0.5000 0.0000 0.5000
Cl 0.3750 0.2500 0.2260
Cl 0.8750 0.2500 0.5240

Output
The space group is I-42d, No. 122. For the formation energy from raw total energies, the calculation gives -0.130 eV per atom. The value obtained for the total energy is -25.74 eV per cell.



Entry 2:
A plane-wave DFT calculation with PBEsol was carried out for a relaxed structure of AlCr5.

Unit cell a=2.8679 b=2.8679 c=8.6619 alpha=90.00 beta=90.00 gamma=90.00
Last column: magnetic moment on the atom in μB.
Atoms (fractional coordinates):
Cr 0.0000 0.0000 0.1851  1.46
Cr 0.5000 0.5000 0.6652  1.46
Cr 0.0000 0.0000 0.5000  -0.86
Cr 0.0000 0.0000 0.8149  -0.03
Cr 0.5000 0.5000 0.3348  -0.86
Al 0.5000 0.5000 0.0000  1.11

Output
The value obtained for the offset from the most stable computed form is 0.026 eV per atom. The space group is P4/mmm, No. 123. The value obtained for the total energy is -55.31 eV per cell.



Entry 3:
A plane-wave DFT calculation with PBEsol was carried out for a relaxed structure of LaNbTe2N.

Unit cell a=3.9612 b=5.5327 c=5.5327 alpha=90.00 beta=90.00 gamma=90.00
Atoms (fractional coordinates):
Te 0.0000 0.5000 0.0000
Nb 0.0000 0.0000 0.0000
N 0.5000 0.0000 0.0000
La 0.5000 0.5000 0.5000
Te 0.0000 0.0000 0.5000

Output
The space group is P4/mmm, No. 123. For the formation energy from raw total energies, the calculation gives -0.692 eV per atom. The value obtained for the total energy is -35.21 eV per cell.



Entry 4:
A plane-wave DFT calculation with PBEsol was carried out for a relaxed structure of Zn2HgTe.

Unit cell a=3.9374 b=4.8979 c=4.8979 alpha=95.45 beta=103.47 gamma=103.47
Atoms (fractional coordinates):
Hg 0.5000 0.5000 0.5000
Zn 0.0000 0.0000 0.5000
Zn 0.0000 0.5000 0.0000
Te 0.5000 0.0000 0.0000

Output
The value obtained for the offset from the most stable computed form is 0.001 eV per atom. The space group is C2/m, No. 12. For the formation energy from raw total energies, the calculation gives 0.123 eV per atom. The value obtained for the total energy is -6.76 eV per cell.



Entry 5:
A plane-wave DFT calculation with PBEsol was carried out for a relaxed structure of KPb3N.

Unit cell a=5.9813 b=5.9813 c=5.9813 alpha=90.00 beta=90.00 gamma=90.00
Last column: magnetic moment on the atom in μB.
Atoms (fractional coordinates):
Pb 0.0000 0.5000 0.0000  -0.01
Pb 0.0000 0.0000 0.5000  -0.01
N 0.5000 0.5000 0.5000  1.75
K 0.0000 0.0000 0.0000  0.01
Pb 0.5000 0.0000 0.0000  -0.01

Output
The value obtained for the offset from the most stable computed form is 1.584 eV per atom. The space group is Pm-3m, No. 221. For the formation energy from raw total energies, the calculation gives 2.028 eV per atom. The value obtained for the total energy is -11.51 eV per cell.



Entry 6:
A plane-wave DFT calculation with PBEsol was carried out for a relaxed structure of EuSnF7.

Unit cell a=5.7458 b=6.0518 c=8.2471 alpha=102.25 beta=90.00 gamma=90.00
Last column: magnetic moment on the atom in μB.
Atoms (fractional coordinates):
F 0.4962 0.4669 0.2608  -0.01
F 0.4536 0.9496 0.2924  -0.01
F 0.0481 0.0412 0.0210  -0.06
F 0.9962 0.5331 0.7392  -0.01
Sn 0.7385 0.3099 0.7246  0.00
F 0.2454 0.7355 0.5193  -0.01
F 0.9536 0.0504 0.7076  -0.01
F 0.2363 0.6339 0.0298  -0.01
F 0.4589 0.1124 0.7092  -0.01
Sn 0.2385 0.6901 0.2754  0.00
F 0.5222 0.5669 0.7314  -0.01
F 0.7454 0.2645 0.4807  -0.01
F 0.7363 0.3661 0.9702  -0.01
Eu 0.2465 0.8409 0.8114  6.06
F 0.0222 0.4331 0.2686  -0.01
F 0.9589 0.8876 0.2908  -0.01
Eu 0.7465 0.1591 0.1886  6.06
F 0.5481 0.9588 0.9790  -0.06

Output
The value obtained for the offset from the most stable computed form is 0.005 eV per atom. The space group is P2_1, No. 4. For the formation energy from raw total energies, the calculation gives -2.989 eV per atom. The value obtained for the total energy is -110.44 eV per cell.



Entry 7:
A plane-wave DFT calculation with PBEsol was carried out for a relaxed structure of Al2Ni.

Unit cell a=2.7743 b=2.7743 c=6.0461 alpha=90.00 beta=90.00 gamma=120.00
Atoms (fractional coordinates):
Al 0.3333 0.6667 0.3063
Al 0.6667 0.3333 0.6937
Ni 0.0000 0.0000 0.0000

Output
The space group is P-3m1, No. 164. The value obtained for the total energy is -15.26 eV per cell.



Entry 8:
A plane-wave DFT calculation with PBEsol was carried out for a relaxed structure of ZnFeSi4O10.

Unit cell a=7.2186 b=7.2186 c=14.7891 alpha=90.00 beta=90.00 gamma=90.00
Last column: magnetic moment on the atom in μB.
Atoms (fractional coordinates):
Si 0.7633 0.8409 0.8556  0.01
O 0.0622 0.7506 0.6249  0.00
O 0.6871 0.3129 0.7500  0.00
O 0.7494 0.4378 0.1249  0.00
O 0.2330 0.0812 0.5738  0.06
O 0.7670 0.0812 0.0738  0.06
O 0.4188 0.7330 0.5738  0.06
O 0.5812 0.2670 0.5738  0.06
O 0.2670 0.5812 0.9262  0.06
O 0.7330 0.5812 0.4262  0.06
O 0.0812 0.7670 0.4262  0.06
O 0.5622 0.2506 0.3751  0.00
O 0.2670 0.4188 0.4262  0.06
Si 0.1591 0.7633 0.1444  0.01
Zn 0.5000 0.5000 0.5000  0.02
Si 0.6591 0.2633 0.8556  0.01
O 0.6871 0.6871 0.2500  0.00
Si 0.2367 0.8409 0.3556  0.01
O 0.4188 0.2670 0.0738  0.06
O 0.1871 0.1871 0.7500  0.00
O 0.3129 0.3129 0.2500  0.00
O 0.0812 0.2330 0.9262  0.06
O 0.7506 0.0622 0.8751  0.00
O 0.3129 0.6871 0.7500  0.00
Fe 0.5000 0.0000 0.5661  3.59
Si 0.7367 0.6591 0.1444  0.01
Fe 0.0000 0.5000 0.9339  3.59
O 0.2494 0.9378 0.8751  0.00
Si 0.8409 0.2367 0.1444  0.01
Zn 0.0000 0.0000 0.5000  0.02
Si 0.1591 0.2367 0.6444  0.01
Si 0.3409 0.7367 0.8556  0.01
O 0.9188 0.7670 0.9262  0.06
O 0.7494 0.5622 0.6249  0.00
O 0.9378 0.2494 0.6249  0.00
O 0.4378 0.7494 0.3751  0.00
O 0.7330 0.4188 0.9262  0.06
Si 0.3409 0.2633 0.3556  0.01
O 0.2494 0.0622 0.3751  0.00
O 0.0622 0.2494 0.1249  0.00
O 0.9378 0.7506 0.1249  0.00
Fe 0.0000 0.5000 0.4339  3.59
Si 0.7633 0.1591 0.3556  0.01
Si 0.2367 0.1591 0.8556  0.01
Zn 0.5000 0.5000 0.0000  0.02
O 0.5812 0.7330 0.0738  0.06
O 0.5622 0.7494 0.8751  0.00
Zn 0.0000 0.0000 0.0000  0.02
Si 0.2633 0.6591 0.6444  0.01
Si 0.2633 0.3409 0.1444  0.01
O 0.2506 0.4378 0.6249  0.00
Si 0.7367 0.3409 0.6444  0.01
O 0.2330 0.9188 0.0738  0.06
O 0.9188 0.2330 0.4262  0.06
Si 0.6591 0.7367 0.3556  0.01
O 0.8129 0.8129 0.7500  0.00
O 0.7506 0.9378 0.3751  0.00
O 0.2506 0.5622 0.1249  0.00
O 0.1871 0.8129 0.2500  0.00
Si 0.8409 0.7633 0.6444  0.01
O 0.7670 0.9188 0.5738  0.06
O 0.4378 0.2506 0.8751  0.00
O 0.8129 0.1871 0.2500  0.00
Fe 0.5000 0.0000 0.0661  3.59

Output
The space group is P4/ncc, No. 130. For the formation energy from raw total energies, the calculation gives -2.312 eV per atom. The value obtained for the total energy is -492.07 eV per cell.



Entry 9:
A plane-wave DFT calculation with PBEsol was carried out for a relaxed structure of LaRe.

Unit cell a=4.8549 b=4.8549 c=4.8549 alpha=60.00 beta=60.00 gamma=60.00
Atoms (fractional coordinates):
La 0.7500 0.7500 0.7500
Re 0.2500 0.2500 0.2500
La 0.5000 0.5000 0.5000
Re 0.0000 0.0000 0.0000

Output
The value obtained for the offset from the most stable computed form is 0.000 eV per atom. The space group is Fd-3m, No. 227. The value obtained for the total energy is -34.95 eV per cell.



Entry 10:
A plane-wave DFT calculation with PBEsol was carried out for a relaxed structure of SiTeW.

Unit cell a=3.3308 b=3.3308 c=5.7976 alpha=90.00 beta=90.00 gamma=120.00
Atoms (fractional coordinates):
W 0.6667 0.3333 0.3149
Si 0.0000 0.0000 0.0379
Te 0.3333 0.6667 0.6473

Output
The value obtained for the offset from the most stable computed form is 0.000 eV per atom. The space group is P3m1, No. 156. For the formation energy from raw total energies, the calculation gives 0.278 eV per atom. The value obtained for the total energy is -22.25 eV per cell.